Computed, not measured: an optimized crystal structure of BaAgSb2Te at the GGA-PBEsol level of DFT.

Cell lengths 6.128, 6.128, 6.214 Å; angles 90.00, 90.00, 90.00 degrees
Space group P4/mmm (No. 123)
Inequivalent atoms, fractional coordinates:
Ba 0.000 0.000 0.000 (multiplicity 1)
Ag 0.500 0.500 0.500 (multiplicity 1)
Sb 0.000 0.500 0.000 (multiplicity 2)
Te 0.000 0.000 0.500 (multiplicity 1)

Values from the calculation:
Calculated volume: 233.33 Å³ per cell
Raw formation energy: 1062 meV/atom

***

Computed, not measured: an optimized crystal structure of Zn5In at the GGA-PBEsol level of DFT.

Cell lengths 2.846, 2.846, 11.860 Å; angles 90.00, 90.00, 90.00 degrees
Space group P4/mmm (No. 123)
Inequivalent atoms, fractional coordinates:
Zn 0.000 0.000 0.000 (multiplicity 1)
Zn 0.000 0.000 0.302 (multiplicity 2)
Zn 0.500 0.500 0.152 (multiplicity 2)
In 0.500 0.500 0.500 (multiplicity 1)

Values from the calculation:
Calculated volume: 96.06 Å³ per cell
E_form: 0.08 eV/atom

***

Computed, not measured: an optimized crystal structure of AlRh2 at the GGA-PBEsol level of DFT.

Cell lengths 2.878, 13.020, 4.273 Å; angles 90.00, 90.00, 90.00 degrees
Space group Cmcm (No. 63)
Inequivalent atoms, fractional coordinates:
Al 0.000 0.074 0.250 (multiplicity 4)
Rh 0.000 0.271 0.750 (multiplicity 4)
Rh 0.000 0.415 0.250 (multiplicity 4)

Values from the calculation:
Calculated volume: 160.10 Å³ per cell
E_form: -0.64 eV/atom

***

Computed, not measured: an optimized crystal structure of BeTc2Ir at the GGA-PBEsol level of DFT.

Cell lengths 2.719, 2.719, 6.683 Å; angles 90.00, 90.00, 90.00 degrees
Space group P4/mmm (No. 123)
Inequivalent atoms, fractional coordinates:
Be 0.000 0.000 0.000 (multiplicity 1)
Tc 0.500 0.500 0.216 (multiplicity 2)
Ir 0.000 0.000 0.500 (multiplicity 1)

Values from the calculation:
Calculated volume: 49.41 Å³ per cell
E_form: -0.11 eV/atom

***

Computed, not measured: an optimized crystal structure of Dy4CdPd at the GGA-PBEsol level of DFT.

Cell lengths 13.435, 13.435, 13.435 Å; angles 90.00, 90.00, 90.00 degrees
Space group F-43m (No. 216)
Inequivalent atoms, fractional coordinates:
Dy 0.000 0.000 0.185 (multiplicity 24)
Dy 0.060 0.250 0.250 (multiplicity 24)
Dy 0.104 0.104 0.604 (multiplicity 16)
Cd 0.168 0.168 0.832 (multiplicity 16)
Pd 0.105 0.105 0.395 (multiplicity 16)

Values from the calculation:
Calculated volume: 2424.95 Å³ per cell
E_form: -0.46 eV/atom

***

Computed, not measured: an optimized crystal structure of TlTc2Au at the GGA-PBEsol level of DFT.

Cell lengths 2.920, 2.920, 7.991 Å; angles 90.00, 90.00, 90.00 degrees
Space group P4mm (No. 99)
Inequivalent atoms, fractional coordinates:
Tl 0.000 0.000 0.000 (multiplicity 1)
Tc 0.000 0.000 0.545 (multiplicity 1)
Tc 0.500 0.500 0.726 (multiplicity 1)
Au 0.500 0.500 0.290 (multiplicity 1)

Values from the calculation:
Calculated volume: 68.13 Å³ per cell
E_form: 0.25 eV/atom
Offset from the most stable computed form: 0.0000 eV per atom

***

Computed, not measured: an optimized crystal structure of KSr2Au at the GGA-PBEsol level of DFT.

Cell lengths 5.487, 5.487, 4.711 Å; angles 90.00, 90.00, 90.00 degrees
Space group P4/mmm (No. 123)
Inequivalent atoms, fractional coordinates:
K 0.000 0.000 0.000 (multiplicity 1)
Sr 0.000 0.500 0.500 (multiplicity 2)
Au 0.500 0.500 0.000 (multiplicity 1)

Values from the calculation:
Calculated volume: 141.82 Å³ per cell
E_form: -0.02 eV/atom
Offset from the most stable computed form: 0.3236 eV per atom

***

Computed, not measured: an optimized crystal structure of BeAl2Ni at the GGA-PBEsol level of DFT.

Cell lengths 2.966, 2.966, 5.342 Å; angles 90.00, 90.00, 90.00 degrees
Space group P4/mmm (No. 123)
Inequivalent atoms, fractional coordinates:
Be 0.000 0.000 0.000 (multiplicity 1)
Al 0.500 0.500 0.250 (multiplicity 2)
Ni 0.000 0.000 0.500 (multiplicity 1)

Values from the calculation:
Calculated volume: 47.00 Å³ per cell
E_form: -0.24 eV/atom

***

Computed, not measured: an optimized crystal structure of AlGaO2 at the GGA-PBEsol level of DFT.

Cell lengths 2.8075, 2.8075, 18.2147 Å; angles 90.00, 90.00, 120.00 degrees
Space group R-3m (No. 166, hexagonal axes)
Inequivalent atoms, fractional coordinates:
Al 0.0000 0.0000 0.0000 (multiplicity 3)
Ga 0.0000 0.0000 0.5000 (multiplicity 3)
O 0.0000 0.0000 0.3873 (multiplicity 6)

Values from the calculation:
Calculated volume: 124.33 Å³ per cell
Raw formation energy: -2248 meV/atom

***

Computed, not measured: an optimized crystal structure of HgRhPb2 at the GGA-PBEsol level of DFT.

Cell lengths 3.5055, 3.5055, 26.2053 Å; angles 90.00, 90.00, 120.00 degrees
Space group R-3m (No. 166, hexagonal axes)
Inequivalent atoms, fractional coordinates:
Hg 0.0000 0.0000 0.0000 (multiplicity 3)
Rh 0.0000 0.0000 0.5000 (multiplicity 3)
Pb 0.0000 0.0000 0.2376 (multiplicity 6)

Values from the calculation:
Calculated volume: 278.88 Å³ per cell
E_form: 0.07 eV/atom

***

Computed, not measured: an optimized crystal structure of MoC at the GGA-PBEsol level of DFT.

Cell lengths 4.226, 4.226, 4.157 Å; angles 90.00, 90.00, 90.00 degrees
Space group P4/mmm (No. 123)
Inequivalent atoms, fractional coordinates:
Mo 0.000 0.000 0.000 (multiplicity 1)
Mo 0.000 0.500 0.500 (multiplicity 2)
C 0.000 0.000 0.500 (multiplicity 1)
C 0.000 0.500 0.000 (multiplicity 2)

Values from the calculation:
Calculated volume: 74.24 Å³ per cell
E_form: 0.58 eV/atom
Offset from the most stable computed form: 0.8060 eV per atom

***

Computed, not measured: an optimized crystal structure of RbBaAu2 at the GGA-PBEsol level of DFT.

Cell lengths 7.882, 7.882, 7.882 Å; angles 90.00, 90.00, 90.00 degrees
Space group Fm-3m (No. 225)
Inequivalent atoms, fractional coordinates:
Rb 0.000 0.000 0.000 (multiplicity 4)
Ba 0.000 0.000 0.500 (multiplicity 4)
Au 0.250 0.250 0.250 (multiplicity 8)

Values from the calculation:
Calculated volume: 489.73 Å³ per cell
E_form: -0.36 eV/atom

***

What theoretical density values result from the calculations? In sequence: 4.386; 7.638; 9.658; 13.351; 9.519; 14.560; 4.816; 4.298; 5.157; 12.824; 7.244; 8.365 g/cm3.
What electronic total energy values result from the calculations? In sequence: -12.79; -10.42; -89.12; -36.81; -476.98; -28.07; -8.82; -19.32; -80.77; -49.31; -60.73; -49.77 eV for the cell shown.